{
  "formula": "CaGdCu",
  "functional": "PBE",
  "state": "optimized geometry",
  "formation_enthalpy_0k_mev_per_atom": -68,
  "space_group": "I4mm, No. 107",
  "lattice": [[-1.773, 1.773, 6.467], [1.773, -1.773, 6.467], [1.773, 1.773, -6.467]],
  "species": ["Ca", "Gd", "Cu"],
  "frac_coords": [[0.000, 0.000, 0.000], [0.267, 0.267, 0.000], [0.646, 0.646, 0.000]]
}

=====

{
  "formula": "CuGe2Br2",
  "functional": "PBE",
  "state": "optimized geometry",
  "de_polymorph_kj_per_mol_atoms": 0.0,
  "space_group": "I4/mmm, No. 139",
  "formation_energy_uncorrected_ev_per_atom": 0.246,
  "lattice": [[-1.846, 1.846, 8.567], [1.846, -1.846, 8.567], [1.846, 1.846, -8.567]],
  "species": ["Cu", "Ge", "Ge", "Br", "Br"],
  "frac_coords": [[0.000, 0.000, 0.000], [0.250, 0.750, 0.500], [0.750, 0.250, 0.500], [0.405, 0.405, 0.000], [0.595, 0.595, 0.000]]
}

=====

{
  "formula": "Pm5YSn4",
  "functional": "PBE",
  "state": "optimized geometry",
  "formation_enthalpy_0k_mev_per_atom": -560,
  "space_group": "C2/m, No. 12",
  "lattice": [[8.227, -2.696, 0.000], [8.227, 2.696, 0.000], [-0.059, 0.000, 7.258]],
  "species": ["Pm", "Pm", "Pm", "Pm", "Pm", "Y", "Sn", "Sn", "Sn", "Sn"],
  "frac_coords": [[0.000, 0.000, 0.000], [0.333, 0.333, 0.493], [0.334, 0.334, 0.004], [0.666, 0.666, 0.996], [0.667, 0.667, 0.507], [0.000, 0.000, 0.500], [0.174, 0.174, 0.749], [0.492, 0.492, 0.744], [0.508, 0.508, 0.256], [0.826, 0.826, 0.251]]
}

=====

{
  "formula": "Ca2AsHPt",
  "functional": "PBE",
  "state": "optimized geometry",
  "total_energy_ev_per_fu": -22.2,
  "space_group": "P4/mmm, No. 123",
  "lattice": [[5.109, 0.000, 0.000], [0.000, 5.109, 0.000], [0.000, 0.000, 3.601]],
  "species": ["Ca", "Ca", "As", "H", "Pt"],
  "frac_coords": [[0.000, 0.500, 0.000], [0.500, 0.000, 0.000], [0.000, 0.000, 0.500], [0.500, 0.500, 0.000], [0.500, 0.500, 0.500]]
}

=====

{
  "formula": "CsSbP",
  "functional": "PBE",
  "state": "optimized geometry",
  "de_polymorph_kj_per_mol_atoms": 3.7,
  "space_group": "P1, No. 1",
  "formation_energy_uncorrected_ev_per_atom": -0.266,
  "lattice": [[6.386, 0.000, 0.000], [-0.005, 7.209, 0.000], [-3.142, -2.326, 6.449]],
  "species": ["Cs", "Cs", "Sb", "Sb", "P", "P"],
  "frac_coords": [[0.000, 0.000, 0.000], [0.232, 0.618, 0.448], [0.166, 0.454, 0.874], [0.712, 0.454, 0.876], [0.130, 0.154, 0.585], [0.464, 0.155, 0.586]]
}

=====

{
  "formula": "Tm12As3C5",
  "functional": "PBE",
  "state": "optimized geometry",
  "formation_enthalpy_0k_mev_per_atom": -510,
  "space_group": "Ia-3d, No. 230",
  "lattice": [[-7.588, 7.588, 7.588], [7.588, -7.588, 7.588], [7.588, 7.588, -7.588]],
  "species": ["Tm", "Tm", "Tm", "Tm", "Tm", "Tm", "Tm", "Tm", "Tm", "Tm", "Tm", "Tm", "Tm", "Tm", "Tm", "Tm", "Tm", "Tm", "Tm", "Tm", "Tm", "Tm", "Tm", "Tm", "Tm", "Tm", "Tm", "Tm", "Tm", "Tm", "Tm", "Tm", "Tm", "Tm", "Tm", "Tm", "Tm", "Tm", "Tm", "Tm", "Tm", "Tm", "Tm", "Tm", "Tm", "Tm", "Tm", "Tm", "As", "As", "As", "As", "As", "As", "As", "As", "As", "As", "As", "As", "C", "C", "C", "C", "C", "C", "C", "C", "C", "C", "C", "C", "C", "C", "C", "C", "C", "C", "C", "C"],
  "frac_coords": [[0.023, 0.205, 0.118], [0.023, 0.319, 0.905], [0.087, 0.705, 0.681], [0.087, 0.882, 0.405], [0.095, 0.618, 0.413], [0.095, 0.977, 0.681], [0.118, 0.023, 0.205], [0.118, 0.595, 0.913], [0.181, 0.205, 0.587], [0.181, 0.477, 0.595], [0.205, 0.118, 0.023], [0.205, 0.587, 0.181], [0.295, 0.319, 0.913], [0.295, 0.477, 0.382], [0.319, 0.905, 0.023], [0.319, 0.913, 0.295], [0.382, 0.295, 0.477], [0.382, 0.587, 0.905], [0.405, 0.087, 0.882], [0.405, 0.819, 0.523], [0.413, 0.095, 0.618], [0.413, 0.819, 0.795], [0.477, 0.382, 0.295], [0.477, 0.595, 0.181], [0.523, 0.405, 0.819], [0.523, 0.618, 0.705], [0.587, 0.181, 0.205], [0.587, 0.905, 0.382], [0.595, 0.181, 0.477], [0.595, 0.913, 0.118], [0.618, 0.413, 0.095], [0.618, 0.705, 0.523], [0.681, 0.087, 0.705], [0.681, 0.095, 0.977], [0.705, 0.523, 0.618], [0.705, 0.681, 0.087], [0.795, 0.413, 0.819], [0.795, 0.882, 0.977], [0.819, 0.523, 0.405], [0.819, 0.795, 0.413], [0.882, 0.405, 0.087], [0.882, 0.977, 0.795], [0.905, 0.023, 0.319], [0.905, 0.382, 0.587], [0.913, 0.118, 0.595], [0.913, 0.295, 0.319], [0.977, 0.681, 0.095], [0.977, 0.795, 0.882], [0.125, 0.250, 0.375], [0.125, 0.375, 0.750], [0.250, 0.375, 0.125], [0.250, 0.875, 0.625], [0.375, 0.125, 0.250], [0.375, 0.750, 0.125], [0.625, 0.250, 0.875], [0.625, 0.875, 0.750], [0.750, 0.125, 0.375], [0.750, 0.625, 0.875], [0.875, 0.625, 0.250], [0.875, 0.750, 0.625], [0.000, 0.000, 0.000], [0.000, 0.000, 0.500], [0.000, 0.500, 0.000], [0.000, 0.500, 0.500], [0.125, 0.750, 0.875], [0.125, 0.875, 0.250], [0.250, 0.125, 0.875], [0.250, 0.625, 0.375], [0.375, 0.250, 0.625], [0.375, 0.625, 0.750], [0.500, 0.000, 0.000], [0.500, 0.000, 0.500], [0.500, 0.500, 0.000], [0.500, 0.500, 0.500], [0.625, 0.375, 0.250], [0.625, 0.750, 0.375], [0.750, 0.375, 0.625], [0.750, 0.875, 0.125], [0.875, 0.125, 0.750], [0.875, 0.250, 0.125]]
}

=====

{
  "formula": "ReRh",
  "functional": "PBE",
  "state": "optimized geometry",
  "de_polymorph_kj_per_mol_atoms": 2.1,
  "formation_enthalpy_0k_mev_per_atom": -155,
  "space_group": "Pnma, No. 62",
  "lattice": [[4.736, 0.000, 0.000], [0.000, 4.372, 0.000], [0.000, 0.000, 5.577]],
  "species": ["Re", "Re", "Re", "Re", "Rh", "Rh", "Rh", "Rh"],
  "frac_coords": [[0.074, 0.250, 0.125], [0.426, 0.750, 0.625], [0.574, 0.250, 0.375], [0.926, 0.750, 0.875], [0.079, 0.250, 0.625], [0.421, 0.750, 0.125], [0.579, 0.250, 0.875], [0.921, 0.750, 0.375]]
}

=====

{
  "formula": "Na4BiSb",
  "functional": "PBE",
  "state": "optimized geometry",
  "de_polymorph_kj_per_mol_atoms": 0.4,
  "space_group": "Imma, No. 74",
  "formation_energy_uncorrected_ev_per_atom": -0.312,
  "lattice": [[-2.939, 9.948, 2.939], [2.939, -9.948, 2.939], [2.939, 9.948, -2.939]],
  "species": ["Na", "Na", "Na", "Na", "Na", "Na", "Na", "Na", "Bi", "Bi", "Sb", "Sb"],
  "frac_coords": [[0.084, 0.001, 0.083], [0.171, 0.499, 0.673], [0.326, 0.499, 0.827], [0.419, 0.001, 0.417], [0.581, 0.999, 0.583], [0.674, 0.501, 0.173], [0.829, 0.501, 0.327], [0.916, 0.999, 0.917], [0.000, 0.500, 0.500], [0.500, 0.500, 0.000], [0.251, 0.001, 0.250], [0.749, 0.999, 0.750]]
}

=====

{
  "formula": "La3ErSc",
  "functional": "PBE",
  "state": "optimized geometry",
  "de_polymorph_kj_per_mol_atoms": 0.0,
  "formation_enthalpy_0k_mev_per_atom": 134,
  "space_group": "C2/c, No. 15",
  "lattice": [[4.941, -7.426, 0.000], [4.941, 7.426, 0.000], [-0.121, 0.000, 9.001]],
  "species": ["La", "La", "La", "La", "La", "La", "La", "La", "La", "La", "La", "La", "Er", "Er", "Er", "Er", "Sc", "Sc", "Sc", "Sc"],
  "frac_coords": [[0.039, 0.465, 0.683], [0.067, 0.786, 0.905], [0.214, 0.933, 0.595], [0.282, 0.572, 0.091], [0.428, 0.718, 0.409], [0.465, 0.039, 0.183], [0.535, 0.961, 0.817], [0.572, 0.282, 0.591], [0.718, 0.428, 0.909], [0.786, 0.067, 0.405], [0.933, 0.214, 0.095], [0.961, 0.535, 0.317], [0.210, 0.293, 0.427], [0.293, 0.210, 0.927], [0.707, 0.790, 0.073], [0.790, 0.707, 0.573], [0.068, 0.932, 0.250], [0.436, 0.564, 0.750], [0.564, 0.436, 0.250], [0.932, 0.068, 0.750]]
}

=====

{
  "formula": "SrTeP",
  "functional": "PBE",
  "state": "optimized geometry",
  "space_group": "F-43m, No. 216",
  "formation_energy_uncorrected_ev_per_atom": -0.375,
  "lattice": [[0.000, 3.596, 3.596], [3.596, 0.000, 3.596], [3.596, 3.596, 0.000]],
  "species": ["Sr", "Te", "P"],
  "frac_coords": [[0.000, 0.000, 0.000], [0.500, 0.500, 0.500], [0.750, 0.750, 0.750]]
}

=====

{
  "formula": "Pm12Si6Pd",
  "functional": "PBE",
  "state": "optimized geometry",
  "space_group": "Im-3, No. 204",
  "formation_energy_uncorrected_ev_per_atom": -0.492,
  "lattice": [[-5.066, 5.066, 5.066], [5.066, -5.066, 5.066], [5.066, 5.066, -5.066]],
  "species": ["Pm", "Pm", "Pm", "Pm", "Pm", "Pm", "Pm", "Pm", "Pm", "Pm", "Pm", "Pm", "Si", "Si", "Si", "Si", "Si", "Si", "Pd"],
  "frac_coords": [[0.106, 0.813, 0.293], [0.187, 0.293, 0.480], [0.187, 0.707, 0.894], [0.293, 0.106, 0.813], [0.293, 0.480, 0.187], [0.480, 0.187, 0.293], [0.520, 0.813, 0.707], [0.707, 0.520, 0.813], [0.707, 0.894, 0.187], [0.813, 0.293, 0.106], [0.813, 0.707, 0.520], [0.894, 0.187, 0.707], [0.116, 0.616, 0.500], [0.384, 0.500, 0.884], [0.500, 0.116, 0.616], [0.500, 0.884, 0.384], [0.616, 0.500, 0.116], [0.884, 0.384, 0.500], [0.000, 0.000, 0.000]]
}

=====

{
  "formula": "CeY2Pa",
  "functional": "PBE",
  "state": "optimized geometry",
  "formation_enthalpy_0k_mev_per_atom": 311,
  "space_group": "R-3m, No. 166",
  "lattice": [[1.654, 0.955, 12.225], [-1.654, 0.955, 12.225], [0.000, -1.910, 12.225]],
  "species": ["Ce", "Y", "Y", "Pa"],
  "frac_coords": [[0.000, 0.000, 0.000], [0.412, 0.412, 0.412], [0.588, 0.588, 0.588], [0.500, 0.500, 0.500]]
}